Rb2ZrPdBr: relaxed, GGA-PBE.

Cell: 6.691 6.691 4.868 Å, 90.00 90.00 90.00°
Positions (direct):
Rb 0.000 0.500 0.000
Rb 0.500 0.000 0.000
Zr 0.000 0.000 0.500
Pd 0.500 0.500 0.500
Br 0.500 0.500 0.000

Output
The value obtained for the uncorrected formation energy is 0.547 eV per atom. The raw total energy is -2.923 eV/atom. Its volume is 217.9 Å³ per cell.

***

Tb4PmTe2: relaxed, GGA-PBE.

Cell: 9.497 9.497 9.497 Å, 33.42 33.42 33.42°
Positions (direct):
Tb 0.134 0.134 0.134
Tb 0.267 0.267 0.267
Tb 0.733 0.733 0.733
Tb 0.866 0.866 0.866
Pm 0.500 0.500 0.500
Te 0.383 0.383 0.383
Te 0.617 0.617 0.617

Output
The value obtained for the uncorrected formation energy is -0.510 eV per atom. The raw total energy is -4.733 eV/atom. Its volume is 231.4 Å³ per cell.

***

KSr2Ir: relaxed, GGA-PBE.

Cell: 4.264 4.264 9.263 Å, 90.00 90.00 90.00°
Positions (direct):
K 0.000 0.000 0.000
Sr 0.000 0.000 0.636
Sr 0.500 0.500 0.372
Ir 0.500 0.500 0.679

Output
The raw total energy is -3.093 eV/atom. Its volume is 168.4 Å³ per cell.

***

PmZrPaN3: relaxed, GGA-PBE.

Cell: 7.034 3.406 8.442 Å, 90.00 96.05 90.00°
Positions (direct):
Pm 0.101 0.250 0.340
Pm 0.899 0.750 0.660
Zr 0.178 0.250 0.955
Zr 0.822 0.750 0.045
Pa 0.405 0.750 0.661
Pa 0.595 0.250 0.339
N 0.125 0.750 0.109
N 0.182 0.250 0.666
N 0.386 0.750 0.399
N 0.614 0.250 0.601
N 0.818 0.750 0.334
N 0.875 0.250 0.891

Output
The value obtained for the uncorrected formation energy is -1.292 eV per atom. The raw total energy is -9.253 eV/atom. Its volume is 201.2 Å³ per cell.

***

Th3PaIr4: relaxed, GGA-PBE.

Cell: 7.103 8.193 7.091 Å, 90.00 109.40 90.00°
Positions (direct):
Th 0.000 0.125 0.250
Th 0.000 0.374 0.750
Th 0.000 0.626 0.250
Th 0.000 0.875 0.750
Th 0.500 0.374 0.250
Th 0.500 0.626 0.750
Pa 0.500 0.125 0.750
Pa 0.500 0.875 0.250
Ir 0.254 0.368 0.508
Ir 0.254 0.632 0.008
Ir 0.263 0.118 0.998
Ir 0.263 0.882 0.498
Ir 0.737 0.118 0.502
Ir 0.737 0.882 0.002
Ir 0.746 0.368 0.992
Ir 0.746 0.632 0.492

Output
The raw total energy is -9.351 eV/atom. Its volume is 389.3 Å³ per cell.

***

Cu2HgGeO6: relaxed, GGA-PBE.

Cell: 7.114 7.114 6.136 Å, 105.74 105.74 103.92°
Positions (direct):
Cu 0.047 0.204 0.157
Cu 0.204 0.047 0.657
Cu 0.796 0.953 0.343
Cu 0.953 0.796 0.843
Hg 0.384 0.616 0.750
Hg 0.616 0.384 0.250
Ge 0.318 0.682 0.250
Ge 0.682 0.318 0.750
O 0.048 0.171 0.461
O 0.156 0.652 0.960
O 0.171 0.048 0.961
O 0.289 0.436 0.300
O 0.348 0.844 0.540
O 0.436 0.289 0.800
O 0.564 0.711 0.200
O 0.652 0.156 0.460
O 0.711 0.564 0.700
O 0.829 0.952 0.039
O 0.844 0.348 0.040
O 0.952 0.829 0.539

Output
The value obtained for the uncorrected formation energy is -0.640 eV per atom. The raw total energy is -4.926 eV/atom. Its volume is 270.6 Å³ per cell.

***

Nb5Rh: relaxed, GGA-PBE.

Cell: 4.642 13.757 3.291 Å, 90.00 90.00 90.00°
Positions (direct):
Nb 0.000 0.000 0.000
Nb 0.000 0.164 0.500
Nb 0.000 0.335 0.000
Nb 0.000 0.665 0.000
Nb 0.000 0.836 0.500
Nb 0.500 0.165 0.000
Nb 0.500 0.336 0.500
Nb 0.500 0.500 0.000
Nb 0.500 0.664 0.500
Nb 0.500 0.835 0.000
Rh 0.000 0.500 0.500
Rh 0.500 0.000 0.500

Output
The raw total energy is -9.812 eV/atom. Its volume is 210.2 Å³ per cell.

***

NaGa2NiAg: relaxed, GGA-PBE.

Cell: 4.525 4.525 5.112 Å, 90.00 90.00 90.00°
Positions (direct):
Na 0.000 0.000 0.000
Ga 0.000 0.500 0.500
Ga 0.500 0.000 0.500
Ni 0.500 0.500 0.500
Ag 0.500 0.500 0.000

Output
The raw total energy is -3.266 eV/atom. Its volume is 104.7 Å³ per cell.

***

PrCd11In: relaxed, GGA-PBE.

Cell: 7.745 7.745 7.686 Å, 98.78 98.78 134.15°
Positions (direct):
Pr 0.000 0.000 0.000
Cd 0.000 0.000 0.500
Cd 0.000 0.500 0.000
Cd 0.005 0.650 0.648
Cd 0.281 0.493 0.790
Cd 0.350 0.995 0.352
Cd 0.493 0.281 0.790
Cd 0.500 0.000 0.000
Cd 0.507 0.719 0.210
Cd 0.650 0.005 0.648
Cd 0.719 0.507 0.210
Cd 0.995 0.350 0.352
In 0.500 0.500 0.500

Output
The raw total energy is -1.453 eV/atom. Its volume is 304.4 Å³ per cell.

***

FeAg2Sb: relaxed, GGA-PBE.

Cell: 3.072 3.072 28.213 Å, 90.00 90.00 120.00°
Positions (direct):
Fe 0.000 0.000 0.000
Fe 0.333 0.667 0.667
Fe 0.667 0.333 0.333
Ag 0.000 0.000 0.259
Ag 0.000 0.000 0.741
Ag 0.333 0.667 0.408
Ag 0.333 0.667 0.925
Ag 0.667 0.333 0.075
Ag 0.667 0.333 0.592
Sb 0.000 0.000 0.500
Sb 0.333 0.667 0.167
Sb 0.667 0.333 0.833

Output
The value obtained for the uncorrected formation energy is 0.462 eV per atom. The raw total energy is -4.110 eV/atom. Its volume is 230.6 Å³ per cell.

***

Mg2In: relaxed, GGA-PBE.

Cell: 3.250 15.820 5.566 Å, 90.00 90.00 90.00°
Positions (direct):
Mg 0.000 0.054 0.250
Mg 0.000 0.386 0.250
Mg 0.000 0.614 0.750
Mg 0.000 0.946 0.750
Mg 0.500 0.114 0.750
Mg 0.500 0.446 0.750
Mg 0.500 0.554 0.250
Mg 0.500 0.886 0.250
In 0.000 0.280 0.750
In 0.000 0.720 0.250
In 0.500 0.220 0.250
In 0.500 0.780 0.750

Output
The raw total energy is -2.012 eV/atom. Its volume is 286.2 Å³ per cell.

***

InNiRh2: relaxed, GGA-PBE.

Cell: 8.903 2.861 4.794 Å, 90.00 101.53 90.00°
Positions (direct):
In 0.000 0.000 0.000
In 0.500 0.500 0.000
Ni 0.000 0.500 0.500
Ni 0.500 0.000 0.500
Rh 0.245 0.000 0.730
Rh 0.255 0.500 0.270
Rh 0.745 0.500 0.730
Rh 0.755 0.000 0.270

Output
The raw total energy is -5.885 eV/atom. Its volume is 119.6 Å³ per cell.

***

LaAsWAu2: relaxed, GGA-PBE.

Cell: 4.976 4.976 4.823 Å, 90.00 90.00 90.00°
Positions (direct):
La 0.000 0.000 0.000
As 0.500 0.500 0.500
W 0.500 0.500 0.000
Au 0.000 0.500 0.500
Au 0.500 0.000 0.500

Output
The raw total energy is -5.439 eV/atom. Its volume is 119.4 Å³ per cell.

***

LiCa4Fe: relaxed, GGA-PBE.

Cell: 6.787 6.787 6.787 Å, 60.00 60.00 60.00°
Positions (direct):
Li 0.000 0.000 0.000
Ca 0.127 0.624 0.624
Ca 0.624 0.127 0.624
Ca 0.624 0.624 0.127
Ca 0.624 0.624 0.624
Fe 0.250 0.250 0.250

Output
The raw total energy is -2.285 eV/atom. Its volume is 221.0 Å³ per cell.

***

K2TlAu: relaxed, GGA-PBE.

Cell: 4.174 4.174 31.080 Å, 90.00 90.00 120.00°
Positions (direct):
K 0.000 0.000 0.238
K 0.000 0.000 0.762
K 0.333 0.667 0.429
K 0.333 0.667 0.905
K 0.667 0.333 0.095
K 0.667 0.333 0.571
Tl 0.000 0.000 0.000
Tl 0.333 0.667 0.667
Tl 0.667 0.333 0.333
Au 0.000 0.000 0.500
Au 0.333 0.667 0.167
Au 0.667 0.333 0.833

Output
The raw total energy is -2.021 eV/atom. Its volume is 468.9 Å³ per cell.

***

LaIrRh: relaxed, GGA-PBE.

Cell: 6.498 6.498 6.498 Å, 90.00 90.00 90.00°
Positions (direct):
La 0.000 0.000 0.000
La 0.000 0.500 0.500
La 0.500 0.000 0.500
La 0.500 0.500 0.000
Ir 0.250 0.250 0.750
Ir 0.250 0.750 0.250
Ir 0.750 0.250 0.250
Ir 0.750 0.750 0.750
Rh 0.000 0.000 0.500
Rh 0.000 0.500 0.000
Rh 0.500 0.000 0.000
Rh 0.500 0.500 0.500

Output
The raw total energy is -7.102 eV/atom. Its volume is 274.4 Å³ per cell.

***

AlCdO2F: relaxed, GGA-PBE.

Cell: 5.602 3.458 7.377 Å, 90.00 107.52 90.00°
Positions (direct):
Al 0.048 0.250 0.156
Al 0.952 0.750 0.844
Cd 0.378 0.250 0.643
Cd 0.622 0.750 0.357
O 0.070 0.250 0.905
O 0.360 0.250 0.318
O 0.640 0.750 0.682
O 0.930 0.750 0.095
F 0.108 0.750 0.652
F 0.892 0.250 0.348

Output
The value obtained for the uncorrected formation energy is -2.328 eV per atom. The raw total energy is -5.617 eV/atom. Its volume is 136.3 Å³ per cell.

***

TaAg2Cl: relaxed, GGA-PBE.

Cell: 2.900 5.489 4.825 Å, 90.00 90.83 90.00°
Positions (direct):
Ta 0.000 0.000 0.000
Ag 0.264 0.500 0.759
Ag 0.736 0.500 0.241
Cl 0.000 0.000 0.500

Output
The value obtained for the uncorrected formation energy is 0.368 eV per atom. The raw total energy is -4.483 eV/atom. Its volume is 76.8 Å³ per cell.

***

TeAsIrAu: relaxed, GGA-PBE.

Cell: 3.802 3.802 23.431 Å, 90.00 90.00 120.00°
Positions (direct):
Te 0.000 0.000 0.000
Te 0.333 0.667 0.667
Te 0.667 0.333 0.333
As 0.000 0.000 0.783
As 0.333 0.667 0.449
As 0.667 0.333 0.116
Ir 0.000 0.000 0.396
Ir 0.333 0.667 0.063
Ir 0.667 0.333 0.729
Au 0.000 0.000 0.887
Au 0.333 0.667 0.553
Au 0.667 0.333 0.220

Output
The value obtained for the uncorrected formation energy is -0.064 eV per atom. The raw total energy is -5.047 eV/atom. Its volume is 293.4 Å³ per cell.

***

ZrMoAsPd2: relaxed, GGA-PBE.

Cell: 4.801 4.801 4.970 Å, 90.00 90.00 90.00°
Positions (direct):
Zr 0.000 0.000 0.000
Mo 0.000 0.000 0.500
As 0.500 0.500 0.000
Pd 0.000 0.500 0.500
Pd 0.500 0.000 0.500

Output
The raw total energy is -5.939 eV/atom. Its volume is 114.6 Å³ per cell.